Density functional theory data (PBE) for Zr2WAu after structural relaxation.

Results
Magnetization ... 0.0000 μB per atom
Formation energy from the elements ... -0.005 eV/atom

Lattice parameters (Å, degrees): 5.3960 5.3960 5.3960 134.91 134.91 65.67
Last column: nearest neighbours and their distance in Å.
Element x y z (fractional)
Au 0.5000 0.5000 0.0000  8 Zr 2.93-3.07, 4 W 3.07
W 0.7500 0.2500 0.5000  8 Zr 2.93-3.07, 4 Au 3.07
Zr 0.0000 0.0000 0.0000  4 Au 2.93, 4 Zr 3.07, 4 W 3.07
Zr 0.2500 0.7500 0.5000  4 W 2.93, 4 Au 3.07, 4 Zr 3.07